Entry 1:
Below is a geometry-optimized FeCu3S8 structure, with properties calculated at the GGA-PBE level.

Properties
- DOS at the Fermi energy: 4.5 states/eV/f.u.
- ΔE_f (raw): -0.18 eV/atom

```
24
Lattice="-0.760 4.053 -3.896 3.212 -2.920 -3.664 -6.268 -8.352 -7.467" Properties=species:S:1:pos:R:3 pbc="T T T"
Fe -3.134 -4.176 -3.734
Fe -0.380 2.027 -1.948
Cu -4.664 -2.965 -10.423
Cu 0.849 -4.254 -4.604
Cu 1.606 -1.460 -1.832
Cu -2.663 -6.416 -10.274
Cu -1.908 -3.609 -7.514
Cu -1.153 -0.803 -4.753
S -3.593 -7.159 -14.008
S -2.148 -1.361 -8.452
S -0.668 0.781 -6.456
S -2.076 -4.740 -11.996
S -5.050 -6.773 -10.998
S 1.292 -1.814 -7.061
S -3.581 -4.576 -9.055
S -0.263 -4.028 -9.270
S 1.234 -0.446 -4.029
S -3.553 -3.191 -5.758
S -5.108 -5.405 -7.966
S -0.235 -2.643 -5.972
S -3.148 -8.000 -8.571
S -1.740 -2.479 -3.031
S -0.223 -0.060 -1.019
S -1.668 -5.857 -6.575
```


Entry 2:
Below is a geometry-optimized InFePCl2 structure, with properties calculated at the GGA-PBE level.

Properties
- DOS at the Fermi energy: 6.8 states/eV/f.u.
- ΔE_f (raw): 0.83 eV/atom

```
5
Lattice="-2.426 -2.678 3.524 -1.288 -4.094 -3.998 4.285 -2.427 1.105" Properties=species:S:1:pos:R:3 pbc="T T T"
P 0.286 -4.600 0.316
Cl 2.143 -1.214 0.553
Cl -1.213 -1.339 1.762
Fe -0.644 -2.047 -1.999
In 0.000 0.000 0.000
```


Entry 3:
Below is a geometry-optimized ZnRe2TePb structure, with properties calculated at the GGA-PBE level.

Properties
- DOS at the Fermi energy: 4.7 states/eV/f.u.
- ΔE_f (raw): 1.86 eV/atom

```
5
Lattice="4.960 0.000 0.000 0.000 5.088 0.000 0.000 0.000 4.960" Properties=species:S:1:pos:R:3 pbc="T T T"
Pb 2.480 2.544 2.480
Re 0.000 0.000 2.480
Re 2.480 0.000 0.000
Zn 0.000 2.544 0.000
Te 0.000 0.000 0.000
```


Entry 4:
Below is a geometry-optimized LaSm2Cu2Sn2 structure, with properties calculated at the GGA-PBE level.

Properties
- DOS at the Fermi energy: 3.4 states/eV/f.u.
- Calculated formation energy: -0.43 eV per atom

```
7
Lattice="-4.273 1.796 0.187 -2.235 0.252 4.057 1.543 9.359 2.921" Properties=species:S:1:pos:R:3 pbc="T T T"
La 0.000 0.000 0.000
Sm 0.087 5.955 2.330
Sm -5.051 5.451 4.834
Cu -3.414 3.525 3.204
Cu -1.550 7.882 3.960
Sn -3.591 8.863 5.427
Sn -1.373 2.544 1.738
```


Entry 5:
Below is a geometry-optimized ZrPaNbCr structure, with properties calculated at the GGA-PBE level.

Properties
- DOS at the Fermi energy: 5.5 states/eV/f.u.
- Calculated formation energy: 0.18 eV per atom

```
4
Lattice="-4.389 -1.934 0.172 -2.031 -1.700 -4.002 -0.562 -4.731 -0.582" Properties=species:S:1:pos:R:3 pbc="T T T"
Cr -3.491 -4.183 -2.206
Nb 0.000 0.000 0.000
Pa -5.237 -6.274 -3.310
Zr -1.746 -2.091 -1.103
```


Entry 6:
Below is a geometry-optimized BaNaTaO4 structure, with properties calculated at the GGA-PBE level.

Properties
- DOS at the Fermi energy: 0.0 states/eV/f.u.
- ΔE_f (raw): -2.64 eV/atom

```
14
Lattice="-1.820 5.663 2.144 -1.409 -2.574 5.603 7.028 -0.996 1.310" Properties=species:S:1:pos:R:3 pbc="T T T"
Ba 4.354 1.277 7.036
Ba -0.554 0.817 2.021
Na 1.006 2.278 6.654
Na 2.794 -0.184 2.403
Ta 0.739 -0.627 5.253
Ta 3.061 2.720 3.804
O 2.911 3.184 5.618
O 0.243 -2.273 6.011
O 0.889 -1.091 3.438
O 3.557 4.366 3.046
O -0.627 0.636 5.489
O 4.427 1.457 3.567
O 2.330 0.022 5.950
O 1.470 2.072 3.106
```


Entry 7:
Below is a geometry-optimized TaTe2P structure, with properties calculated at the GGA-PBE level.

Properties
- DOS at the Fermi energy: 2.3 states/eV/f.u.
- ΔE_f (raw): -0.05 eV/atom

```
16
Lattice="-6.072 -1.567 -2.509 0.394 -7.731 3.877 -2.866 2.537 5.351" Properties=species:S:1:pos:R:3 pbc="T T T"
P -1.270 -5.262 1.815
P -5.841 -2.767 2.228
P -2.703 -3.993 4.491
P -4.408 -4.036 -0.447
Te -1.887 -6.583 4.134
Te -5.224 -1.446 -0.090
Te -6.657 -0.177 2.585
Te -3.320 -5.315 6.809
Te -5.707 -5.388 3.543
Te -1.403 -2.641 0.501
Te -4.275 -6.657 0.867
Te -2.837 -1.372 3.176
Ta -0.520 -3.231 3.276
Ta -3.555 -4.015 2.022
Ta -1.953 -1.962 5.952
Ta -4.988 -2.746 4.697
```


Entry 8:
Below is a geometry-optimized PmNd8Pb2 structure, with properties calculated at the GGA-PBE level.

Properties
- DOS at the Fermi energy: 14.8 states/eV/f.u.
- Calculated formation energy: -0.11 eV per atom

```
11
Lattice="6.492 -0.231 -0.175 -0.294 8.810 2.345 -0.294 4.631 7.853" Properties=species:S:1:pos:R:3 pbc="T T T"
Pm 0.000 0.000 0.000
Nd 2.262 6.909 7.374
Nd 3.642 4.247 5.355
Nd 0.616 10.582 8.029
Nd 5.288 2.627 1.993
Nd 2.262 8.962 4.668
Nd 3.642 6.301 2.648
Nd 5.500 7.630 5.790
Nd 0.404 5.579 4.233
Pb 3.910 9.840 7.466
Pb 1.995 3.370 2.557
```


Entry 9:
Below is a geometry-optimized HSeF structure, with properties calculated at the GGA-PBE level.

```
6
Lattice="3.494 0.000 0.000 -1.747 5.384 -0.492 0.000 -1.808 5.593" Properties=species:S:1:pos:R:3 pbc="T T T"
H 1.747 2.937 2.228
H 0.000 0.639 2.873
Se 1.747 2.017 0.267
Se 0.000 1.559 4.834
F 0.000 0.386 1.926
F 1.747 3.190 3.175
```


Entry 10:
Below is a geometry-optimized VCu3H structure, with properties calculated at the GGA-PBE level.

Properties
- DOS at the Fermi energy: 5.5 states/eV/f.u.

```
5
Lattice="4.683 0.000 0.000 0.000 4.683 0.000 0.000 0.000 4.683" Properties=species:S:1:pos:R:3 pbc="T T T"
H 2.342 2.342 2.342
Cu 0.000 2.342 0.000
Cu 0.000 0.000 2.342
Cu 2.342 0.000 0.000
V 0.000 0.000 0.000
```


Entry 11:
Below is a geometry-optimized ZrTiMn structure, with properties calculated at the GGA-PBE level.

Properties
- DOS at the Fermi energy: 4.1 states/eV/f.u.
- Calculated formation energy: -0.06 eV per atom

```
12
Lattice="3.665 0.000 0.000 0.000 5.627 0.000 0.000 0.000 9.917" Properties=species:S:1:pos:R:3 pbc="T T T"
Ti 0.916 4.220 8.772
Ti 0.916 1.407 8.772
Ti 2.749 1.407 3.814
Ti 2.749 4.220 3.814
Mn 0.917 2.814 4.621
Mn 2.749 2.814 9.579
Mn 0.917 0.000 3.007
Mn 2.749 0.000 7.965
Zr 2.749 2.814 6.623
Zr 0.916 2.814 1.665
Zr 0.916 0.000 5.963
Zr 2.749 0.000 1.004
```


Entry 12:
Below is a geometry-optimized Ho3Al7Ga2 structure, with properties calculated at the GGA-PBE level.

Properties
- DOS at the Fermi energy: 3.5 states/eV/f.u.
- Calculated formation energy: -0.41 eV per atom

```
12
Lattice="4.066 0.000 0.000 0.000 4.244 0.000 0.000 -2.122 13.771" Properties=species:S:1:pos:R:3 pbc="T T T"
Ho 2.033 2.122 0.000
Ho 2.033 2.122 4.874
Ho 2.033 0.000 8.897
Al 0.000 0.000 11.532
Al 0.000 2.122 7.502
Al 0.000 0.000 0.000
Al 0.000 2.122 2.239
Al 2.033 0.000 2.189
Al 2.033 2.122 11.582
Al 0.000 0.000 6.270
Ga 0.000 2.122 9.926
Ga 0.000 0.000 3.846
```


Entry 13:
Below is a geometry-optimized HfZrSbTe2 structure, with properties calculated at the GGA-PBE level.

Properties
- DOS at the Fermi energy: 5.8 states/eV/f.u.
- ΔE_f (raw): 0.33 eV/atom

```
5
Lattice="-1.939 -2.335 -4.538 5.090 -1.241 -1.536 -0.378 -4.816 2.640" Properties=species:S:1:pos:R:3 pbc="T T T"
Sb -0.189 -2.408 1.320
Te 2.545 -0.621 -0.768
Te -0.970 -1.167 -2.269
Hf 0.000 0.000 0.000
Zr 1.386 -4.196 -1.717
```


Entry 14:
Below is a geometry-optimized CsSnF3 structure, with properties calculated at the GGA-PBE level.

Properties
- DOS at the Fermi energy: 0.0 states/eV/f.u.
- ΔE_f (raw): -2.23 eV/atom

```
10
Lattice="-0.188 1.188 -4.492 -1.712 -4.091 1.397 -9.270 4.411 1.555" Properties=species:S:1:pos:R:3 pbc="T T T"
Cs -8.157 0.977 0.600
Cs -3.014 0.531 -2.140
Sn 0.000 0.000 0.000
Sn -4.635 2.206 0.777
F -2.317 1.103 0.389
F -6.952 3.308 1.166
F -1.648 -2.121 -0.492
F -5.396 -0.337 0.137
F -5.775 1.845 -1.677
F -9.523 3.628 -1.048
```


Entry 15:
Below is a geometry-optimized KF4 structure, with properties calculated at the GGA-PBE level.

Properties
- ΔE_f (raw): -1.10 eV/atom

```
5
Lattice="4.482 -0.112 0.465 2.140 3.939 0.465 1.189 0.687 4.727" Properties=species:S:1:pos:R:3 pbc="T T T"
K 0.000 0.000 0.000
F 5.660 3.271 4.486
F 2.151 1.243 1.170
F 4.585 2.650 3.222
F 3.226 1.864 2.434
```


Entry 16:
Below is a geometry-optimized CdHg2Sb structure, with properties calculated at the GGA-PBE level.

Properties
- DOS at the Fermi energy: 1.5 states/eV/f.u.
- ΔE_f (raw): 0.03 eV/atom

```
4
Lattice="5.952 0.000 0.000 0.000 3.172 -0.013 0.000 2.860 5.839" Properties=species:S:1:pos:R:3 pbc="T T T"
Sb 0.000 3.373 3.647
Hg 0.000 0.360 0.734
Hg 2.976 1.940 0.720
Cd 2.976 3.375 3.639
```


Entry 17:
Below is a geometry-optimized FeSi2Ru structure, with properties calculated at the GGA-PBE level.

Properties
- DOS at the Fermi energy: 2.5 states/eV/f.u.
- ΔE_f (raw): -0.32 eV/atom

```
4
Lattice="-3.162 2.418 -0.693 -2.787 0.699 -2.840 -3.585 -2.716 1.549" Properties=species:S:1:pos:R:3 pbc="T T T"
Fe -2.384 0.100 -0.496
Ru -7.151 0.301 -1.489
Si -6.010 3.038 -3.481
Si -4.707 0.280 -1.045
```


Entry 18:
Below is a geometry-optimized Rb2Sr2Mn structure, with properties calculated at the GGA-PBE level.

Properties
- DOS at the Fermi energy: 7.7 states/eV/f.u.
- Calculated formation energy: 0.75 eV per atom

```
5
Lattice="-2.871 2.730 -2.855 -3.274 0.331 3.609 2.107 10.985 4.209" Properties=species:S:1:pos:R:3 pbc="T T T"
Sr -2.245 3.040 0.989
Sr -1.792 11.005 3.974
Mn 0.000 0.000 0.000
Rb -1.918 7.623 0.865
Rb -2.119 6.423 4.097
```


Entry 19:
Below is a geometry-optimized Tb2PrNbN4 structure, with properties calculated at the GGA-PBE level.

Properties
- DOS at the Fermi energy: 2.3 states/eV/f.u.
- ΔE_f (raw): -1.24 eV/atom

```
16
Lattice="3.446 0.000 0.000 -1.723 6.039 0.000 0.000 0.000 12.189" Properties=species:S:1:pos:R:3 pbc="T T T"
Tb 0.000 4.477 6.527
Tb 1.723 1.562 0.433
Tb 1.723 1.562 5.661
Tb 0.000 4.477 11.755
Pr 0.000 1.160 9.141
Pr 1.723 4.879 3.047
Nb 1.723 4.057 9.141
Nb 0.000 1.982 3.047
N 0.000 3.151 1.476
N 1.723 2.888 7.570
N 1.723 2.888 10.712
N 0.000 3.151 4.618
N 0.000 0.000 6.094
N 0.000 0.000 0.000
N 0.000 5.324 9.141
N 1.723 0.715 3.047
```


Entry 20:
Below is a geometry-optimized ReAg structure, with properties calculated at the GGA-PBE level.

Properties
- DOS at the Fermi energy: 2.4 states/eV/f.u.
- Calculated formation energy: 1.52 eV per atom

```
4
Lattice="-3.361 -1.158 -2.460 3.976 0.123 -1.692 0.671 -4.587 1.242" Properties=species:S:1:pos:R:3 pbc="T T T"
Re 0.000 0.000 0.000
Re 0.335 -2.293 0.621
Ag 1.698 -1.450 -1.638
Ag -0.412 -4.171 -1.272
```


Entry 21:
Below is a geometry-optimized SmTh2Ni structure, with properties calculated at the GGA-PBE level.

Properties
- DOS at the Fermi energy: 4.5 states/eV/f.u.
- Calculated formation energy: -0.20 eV per atom

```
8
Lattice="3.702 -0.141 0.000 -1.619 5.999 0.000 0.000 0.000 9.913" Properties=species:S:1:pos:R:3 pbc="T T T"
Sm 0.193 4.900 2.478
Sm 1.890 0.958 7.435
Th 0.066 1.635 4.373
Th 2.017 4.224 5.540
Th 2.017 4.224 9.330
Th 0.066 1.635 0.583
Ni 1.952 2.427 2.478
Ni 0.131 3.431 7.435
```


Entry 22:
Below is a geometry-optimized TeSe3F structure, with properties calculated at the GGA-PBE level.

Properties
- DOS at the Fermi energy: 11.0 states/eV/f.u.
- ΔE_f (raw): 0.56 eV/atom

```
5
Lattice="5.345 0.000 0.000 0.000 5.345 0.000 0.000 0.000 5.345" Properties=species:S:1:pos:R:3 pbc="T T T"
Te 0.000 0.000 0.000
Se 0.000 2.673 0.000
Se 0.000 0.000 2.673
Se 2.673 0.000 0.000
F 2.673 2.673 2.673
```


Entry 23:
Below is a geometry-optimized LiHfZr2Pb structure, with properties calculated at the GGA-PBE level.

Properties
- DOS at the Fermi energy: 6.4 states/eV/f.u.
- Calculated formation energy: 0.54 eV per atom

```
5
Lattice="4.811 0.000 0.000 0.000 4.677 0.000 0.000 0.000 4.811" Properties=species:S:1:pos:R:3 pbc="T T T"
Pb 0.000 2.338 0.000
Hf 2.406 2.338 2.406
Zr 0.000 0.000 2.406
Zr 2.406 0.000 0.000
Li 0.000 0.000 0.000
```


Entry 24:
Below is a geometry-optimized Mn6CoRh structure, with properties calculated at the GGA-PBE level.

Properties
- DOS at the Fermi energy: 6.4 states/eV/f.u.
- Calculated formation energy: -0.07 eV per atom

```
8
Lattice="-2.309 1.293 -2.500 -2.590 0.292 2.542 2.179 6.695 1.451" Properties=species:S:1:pos:R:3 pbc="T T T"
Mn -2.449 0.793 0.021
Mn -1.359 4.140 0.747
Mn -0.585 2.395 -0.871
Mn 0.456 5.594 -0.178
Mn -0.726 1.894 1.650
Mn 0.316 5.093 2.343
Co 1.090 3.347 0.726
Rh 0.000 0.000 0.000
```


Number 1: total DFT energy (no corrections) -4.6636 eV per atom. Number 2: total DFT energy (no corrections) -3.2351 eV per atom. Number 3: total DFT energy (no corrections) -4.7488 eV per atom. Number 4: total DFT energy (no corrections) -4.8003 eV per atom. Number 5: total DFT energy (no corrections) -9.2569 eV per atom. Number 6: total DFT energy (no corrections) -7.6296 eV per atom. Number 7: total DFT energy (no corrections) -5.9398 eV per atom. Number 8: total DFT energy (no corrections) -4.6802 eV per atom. Number 9: total DFT energy (no corrections) -3.8180 eV per atom. Number 10: total DFT energy (no corrections) -3.1282 eV per atom. Number 11: total DFT energy (no corrections) -8.6014 eV per atom. Number 12: total DFT energy (no corrections) -4.2401 eV per atom. Number 13: total DFT energy (no corrections) -5.4530 eV per atom. Number 14: total DFT energy (no corrections) -4.3216 eV per atom. Number 15: total DFT energy (no corrections) -2.8184 eV per atom. Number 16: total DFT energy (no corrections) -1.3760 eV per atom. Number 17: total DFT energy (no corrections) -7.4703 eV per atom. Number 18: total DFT energy (no corrections) -2.1449 eV per atom. Number 19: total DFT energy (no corrections) -8.4132 eV per atom. Number 20: total DFT energy (no corrections) -6.1278 eV per atom. Number 21: total DFT energy (no corrections) -6.5392 eV per atom. Number 22: total DFT energy (no corrections) -2.5378 eV per atom. Number 23: total DFT energy (no corrections) -5.9988 eV per atom. Number 24: total DFT energy (no corrections) -8.7507 eV per atom.